Entry 1:
A plane-wave DFT calculation with PBE-GGA was carried out for BaTiNb3 after structural relaxation.

Lattice parameters (Å, degrees): 4.9877 4.9877 4.9877 90.00 90.00 90.00
Last column: nearest neighbours and their distance in Å.
Atoms (fractional coordinates):
Nb  0.0000  0.0000  0.5000  2 Ti 2.49
Nb  0.0000  0.5000  0.0000  2 Ti 2.49
Nb  0.5000  0.0000  0.0000  2 Ti 2.49
Ti  0.0000  0.0000  0.0000  6 Nb 2.49
Ba  0.5000  0.5000  0.5000  12 Nb 3.53

## Properties
* energy of formation from the pure elements: 5.98 eV per formula unit
* uncorrected energy: -0.5005 Ry per atom
* excess energy over the best structure of this formula in the dataset: 0 meV/atom

=====

Entry 2:
A plane-wave DFT calculation with PBE-GGA was carried out for BaTiNb2 after structural relaxation.

Lattice parameters (Å, degrees): 5.0733 5.0733 10.2061 75.61 75.61 90.00
Last column: nearest neighbours and their distance in Å.
Atoms (fractional coordinates):
Ba  0.0000  0.0000  0.0000  4 Ti 3.59, 8 Nb 3.71
Ba  0.7500  0.2500  0.5000  4 Ti 3.59, 8 Nb 3.71
Nb  0.3750  0.6251  0.7500  2 Nb 2.54, 2 Ti 2.70
Nb  0.3751  0.6250  0.2500  2 Nb 2.54, 2 Ti 2.70
Nb  0.8750  0.6249  0.7500  2 Nb 2.54, 2 Ti 2.70
Nb  0.3749  0.1250  0.2500  2 Nb 2.54, 2 Ti 2.70
Ti  0.5000  0.5000  0.0000  4 Nb 2.70
Ti  0.2500  0.7500  0.5000  4 Nb 2.70

## Properties
* energy of formation from the pure elements: 5.00 eV per formula unit
* uncorrected energy: -0.4586 Ry per atom
* excess energy over the best structure of this formula in the dataset: 199 meV/atom

=====

Entry 3:
A plane-wave DFT calculation with PBE-GGA was carried out for BaTiNb2 after structural relaxation.

Lattice parameters (Å, degrees): 4.9667 4.9667 4.9667 60.00 60.00 60.00
Last column: nearest neighbours and their distance in Å.
Atoms (fractional coordinates):
Nb  0.7500  0.7500  0.7500  4 Ba 3.04, 4 Ti 3.04
Nb  0.2500  0.2500  0.2500  4 Ba 3.04, 4 Ti 3.04
Ti  0.0000  0.0000  0.0000  8 Nb 3.04
Ba  0.5000  0.5000  0.5000  8 Nb 3.04

## Properties
* energy of formation from the pure elements: 4.20 eV per formula unit
* uncorrected energy: -0.4732 Ry per atom
* excess energy over the best structure of this formula in the dataset: 0 meV/atom

=====

Entry 4:
A plane-wave DFT calculation with PBE-GGA was carried out for BaTiNb3 after structural relaxation.

Lattice parameters (Å, degrees): 5.0356 5.0356 5.0356 90.00 90.00 90.00
Last column: nearest neighbours and their distance in Å.
Atoms (fractional coordinates):
Ti  0.5000  0.5000  0.5000  12 Nb 3.56
Nb  0.0000  0.0000  0.5000  2 Ba 2.52
Nb  0.5000  0.0000  0.0000  2 Ba 2.52
Nb  0.0000  0.5000  0.0000  2 Ba 2.52
Ba  0.0000  0.0000  0.0000  6 Nb 2.52

## Properties
* energy of formation from the pure elements: 12.57 eV per formula unit
* uncorrected energy: -0.4037 Ry per atom
* excess energy over the best structure of this formula in the dataset: 1318 meV/atom

=====

Entry 5:
A plane-wave DFT calculation with PBE-GGA was carried out for BaTi2Nb after structural relaxation.

Lattice parameters (Å, degrees): 4.9772 4.9772 4.9772 60.00 60.00 60.00
Last column: nearest neighbours and their distance in Å.
Atoms (fractional coordinates):
Nb  0.0000  0.0000  0.0000  8 Ti 3.05
Ba  0.5000  0.5000  0.5000  8 Ti 3.05
Ti  0.2500  0.2500  0.2500  4 Ba 3.05, 4 Nb 3.05
Ti  0.7500  0.7500  0.7500  4 Ba 3.05, 4 Nb 3.05

## Properties
* energy of formation from the pure elements: 3.34 eV per formula unit
* uncorrected energy: -0.4491 Ry per atom
* excess energy over the best structure of this formula in the dataset: 0 meV/atom

=====

Entry 6:
A plane-wave DFT calculation with PBE-GGA was carried out for BaTi2Nb after structural relaxation.

Lattice parameters (Å, degrees): 5.3909 5.3909 9.4841 73.49 73.49 90.00
Last column: nearest neighbours and their distance in Å.
Atoms (fractional coordinates):
Ti  0.3750  0.6250  0.7500  2 Nb 2.56, 2 Ti 2.70
Ti  0.3750  0.1250  0.2500  2 Nb 2.56, 2 Ti 2.70
Ti  0.8750  0.6250  0.7500  2 Nb 2.56, 2 Ti 2.70
Ti  0.3750  0.6250  0.2500  2 Nb 2.56, 2 Ti 2.70
Ba  0.7500  0.2500  0.5000  8 Ti 3.71, 4 Nb 3.81
Ba  0.0000  0.0000  0.0000  8 Ti 3.71, 4 Nb 3.81
Nb  0.5000  0.5000  0.0000  4 Ti 2.56
Nb  0.2500  0.7500  0.5000  4 Ti 2.56

## Properties
* energy of formation from the pure elements: 4.73 eV per formula unit
* uncorrected energy: -0.4236 Ry per atom
* excess energy over the best structure of this formula in the dataset: 347 meV/atom

=====

Entry 7:
A plane-wave DFT calculation with PBE-GGA was carried out for Ba2TiNbV after structural relaxation.

Lattice parameters (Å, degrees): 6.1673 4.7471 6.1673 90.00 90.00 90.00
Last column: nearest neighbours and their distance in Å.
Atoms (fractional coordinates):
Ti  0.0000  0.5000  0.0000  2 Nb 2.37
Ba  0.0000  0.0000  0.5000  2 Nb 3.08
Ba  0.5000  0.0000  0.0000  2 Nb 3.08
V  0.5000  0.5000  0.5000  8 Ba 3.89
Nb  0.0000  0.0000  0.0000  2 Ti 2.37

## Properties
* energy of formation from the pure elements: 7.89 eV per formula unit
* uncorrected energy: -0.3387 Ry per atom

=====

Entry 8:
A plane-wave DFT calculation with PBE-GGA was carried out for Ba2TiNbW after structural relaxation.

Lattice parameters (Å, degrees): 6.0520 4.7234 6.0520 90.00 90.00 90.00
Last column: nearest neighbours and their distance in Å.
Atoms (fractional coordinates):
W  0.5000  0.5000  0.5000  8 Ba 3.84, 4 Nb 4.28
Ti  0.0000  0.0000  0.0000  2 Nb 2.36
Ba  0.5000  0.0000  0.0000  2 Ti 3.03
Ba  0.0000  0.0000  0.5000  2 Ti 3.03
Nb  0.0000  0.5000  0.0000  2 Ti 2.36

## Properties
* energy of formation from the pure elements: 9.45 eV per formula unit
* uncorrected energy: -0.3721 Ry per atom

=====

Entry 9:
A plane-wave DFT calculation with PBE-GGA was carried out for BaNbTl2 after structural relaxation.

Lattice parameters (Å, degrees): 5.6004 5.6004 10.4455 74.45 74.45 90.00
Last column: nearest neighbours and their distance in Å.
Atoms (fractional coordinates):
Nb  0.2500  0.7500  0.5000  4 Tl 2.87
Nb  0.5000  0.5000  0.0000  4 Tl 2.87
Tl  0.2587  0.6250  0.2500  2 Nb 2.87, 2 Tl 3.09
Tl  0.3750  0.5087  0.7500  2 Nb 2.87, 2 Tl 3.09
Tl  0.4913  0.1250  0.2500  2 Nb 2.87, 2 Tl 3.09
Tl  0.8750  0.7413  0.7500  2 Nb 2.87, 2 Tl 3.09
Ba  0.7500  0.2500  0.5000  4 Tl 3.52
Ba  0.0000  0.0000  0.0000  4 Tl 3.52

## Properties
* energy of formation from the pure elements: 2.34 eV per formula unit
* uncorrected energy: -0.2644 Ry per atom

=====

Entry 10:
A plane-wave DFT calculation with PBE-GGA was carried out for BaNb2Tl after structural relaxation.

Lattice parameters (Å, degrees): 5.0849 5.0849 5.0849 60.00 60.00 60.00
Last column: nearest neighbours and their distance in Å.
Atoms (fractional coordinates):
Nb  0.7500  0.7500  0.7500  4 Ba 3.11, 4 Tl 3.11
Nb  0.2500  0.2500  0.2500  4 Tl 3.11, 4 Ba 3.11
Tl  0.5000  0.5000  0.5000  8 Nb 3.11
Ba  0.0000  0.0000  0.0000  8 Nb 3.11

## Properties
* energy of formation from the pure elements: 4.15 eV per formula unit
* uncorrected energy: -0.3726 Ry per atom
* excess energy over the best structure of this formula in the dataset: 0 meV/atom

=====

Entry 11:
A plane-wave DFT calculation with PBE-GGA was carried out for BaNb2Tl after structural relaxation.

Lattice parameters (Å, degrees): 8.5895 8.5895 6.7774 50.68 50.68 90.00
Last column: nearest neighbours and their distance in Å.
Atoms (fractional coordinates):
Tl  0.0000  0.0000  0.0000  4 Nb 2.90, 2 Ba 3.01
Tl  0.7500  0.2500  0.5000  4 Nb 2.90, 2 Ba 3.01
Nb  0.0842  0.6250  0.2500  2 Tl 2.90, 2 Nb 3.09
Nb  0.3750  0.3342  0.7500  2 Tl 2.90, 2 Nb 3.09
Nb  0.8750  0.9158  0.7500  2 Tl 2.90, 2 Nb 3.09
Nb  0.6658  0.1250  0.2500  2 Tl 2.90, 2 Nb 3.09
Ba  0.2500  0.7500  0.5000  2 Tl 3.01
Ba  0.5000  0.5000  0.0000  2 Tl 3.01

## Properties
* energy of formation from the pure elements: 5.02 eV per formula unit
* uncorrected energy: -0.3567 Ry per atom
* excess energy over the best structure of this formula in the dataset: 216 meV/atom

=====

Entry 12:
A plane-wave DFT calculation with PBE-GGA was carried out for Ba2Nb2Tl after structural relaxation.

Lattice parameters (Å, degrees): 10.1503 10.1503 3.5623 90.00 90.00 90.00
Last column: nearest neighbours and their distance in Å.
Atoms (fractional coordinates):
Ba  0.2921  0.7921  0.0000  6 Nb 3.56-3.65, 2 Ba 3.56, 2 Tl 3.64
Ba  0.2079  0.2921  0.0000  6 Nb 3.56-3.65, 2 Ba 3.56, 2 Tl 3.64
Ba  0.7921  0.7079  0.0000  6 Nb 3.56-3.65, 2 Ba 3.56, 2 Tl 3.64
Ba  0.7079  0.2079  0.0000  6 Nb 3.56-3.65, 2 Ba 3.56, 2 Tl 3.64
Nb  0.5773  0.9227  0.5000  1 Nb 2.22
Nb  0.0773  0.5773  0.5000  1 Nb 2.22
Nb  0.4227  0.0773  0.5000  1 Nb 2.22
Nb  0.9227  0.4227  0.5000  1 Nb 2.22
Tl  0.0000  0.0000  0.0000  2 Tl 3.56, 4 Ba 3.64
Tl  0.5000  0.5000  0.0000  2 Tl 3.56, 4 Ba 3.64

## Properties
* energy of formation from the pure elements: 4.14 eV per formula unit
* uncorrected energy: -0.3265 Ry per atom
* excess energy over the best structure of this formula in the dataset: 425 meV/atom

=====

Entry 13:
A plane-wave DFT calculation with PBE-GGA was carried out for Ba2Nb2Tl after structural relaxation.

Lattice parameters (Å, degrees): 3.7624 3.7624 12.0591 81.03 81.03 90.00
Last column: nearest neighbours and their distance in Å.
Atoms (fractional coordinates):
Nb  0.7500  0.2500  0.5000  4 Nb 2.66
Nb  0.2500  0.7500  0.5000  4 Nb 2.66
Ba  0.6085  0.6085  0.7831  4 Tl 3.69, 4 Ba 3.76, 4 Nb 3.82
Ba  0.3915  0.3915  0.2169  4 Tl 3.69, 4 Ba 3.76, 4 Nb 3.82
Tl  0.0000  0.0000  0.0000  8 Ba 3.69, 4 Tl 3.76

## Properties
* energy of formation from the pure elements: 2.02 eV per formula unit
* uncorrected energy: -0.3577 Ry per atom
* excess energy over the best structure of this formula in the dataset: 0 meV/atom

=====

| no. | total moment (μB per formula unit) |
| --- | --- |
| 1 | 1.0 |
| 2 | 0.0 |
| 3 | 0.0 |
| 4 | 0.0 |
| 5 | 0.0 |
| 6 | 0.9 |
| 7 | 0.8 |
| 8 | 4.1 |
| 9 | 1.7 |
| 10 | 0.0 |
| 11 | 0.0 |
| 12 | 0.0 |
| 13 | 0.0 |